(1)
A plane-wave DFT calculation with PBE-GGA was carried out for crystalline GeClF at its relaxed geometry.

Cell and atoms, written as POSCAR:
```
GeClF
1.0
4.5785 0.0000 0.0000
-1.8170 5.6398 0.0000
-0.2171 -1.3322 5.8717
Ge Cl F
2 2 2
Cartesian
-0.2481 1.8094 1.5140
2.7925 2.4982 4.3577
-0.0850 4.0689 0.9701
2.6294 0.2387 4.9016
0.0393 2.2880 3.5888
2.5051 2.0196 2.2830
```

---

(2)
A plane-wave DFT calculation with PBE-GGA was carried out for crystalline GeClF at its relaxed geometry.

Cell and atoms, written as POSCAR:
```
GeClF
1.0
4.7066 0.0000 0.0000
-0.2977 5.7858 0.0000
-0.2149 -1.1654 5.6718
Ge Cl F
2 2 2
Cartesian
0.0000 0.0000 0.0000
1.1520 2.3227 2.8334
1.3498 4.5033 1.1396
1.4238 0.2079 4.6470
-0.0814 1.3713 1.6904
-0.2683 3.0667 3.7737
```

---

(3)
GeClF3, optimized geometry, DFT PBE-GGA; energy above the lowest structure with this stoichiometry = 0.0 meV/atom
1.0
5.0108 0.0000 0.0000
-0.0337 6.2175 0.0000
-0.0144 -0.3775 7.3457
Ge Cl F
2 2 6
Cartesian
0.0000 0.0000 0.0000
2.4806 2.3882 4.1249
1.9199 0.4616 3.5260
4.4454 1.9234 0.6052
1.6724 5.7165 7.2468
1.8801 2.7895 5.6887
1.9600 3.5982 3.0169
4.2009 2.5166 4.2210
4.3622 5.4414 5.7811
4.4605 5.0040 1.1061

---

(4)
A plane-wave DFT calculation with PBE-GGA was carried out for crystalline GeClF at its relaxed geometry.

Cell and atoms, written as POSCAR:
```
GeClF
1.0
4.9601 0.0000 0.0000
2.1434 5.1102 0.0000
0.6131 1.5188 6.0540
Ge Cl F
2 2 2
Cartesian
0.0000 0.0000 0.0000
3.1437 2.0015 3.2755
2.4309 2.8465 0.1152
5.4032 4.9654 2.3424
1.3843 1.6689 3.9992
3.8534 1.3284 5.0712
```

---

(5)
A plane-wave DFT calculation with PBE-GGA was carried out for crystalline GeCl2F8 at its relaxed geometry.

Cell and atoms, written as POSCAR:
```
GeCl2F8
1.0
5.9506 -2.7178 0.0000
5.9506 2.7178 0.0000
-1.1918 0.0000 5.3736
Ge Cl F
1 2 8
Cartesian
0.0000 0.0000 0.0000
2.5301 0.0000 2.4483
8.1793 0.0000 2.9254
0.6483 0.0000 1.8635
4.7423 1.4708 0.4139
5.9671 1.4708 4.9597
4.0776 0.0000 3.0228
6.6318 0.0000 2.3508
4.7423 -1.4708 0.4139
5.9671 -1.4708 4.9597
10.0611 0.0000 3.5102
```

---

(6)
GeClF3, optimized geometry, DFT PBE-GGA; energy above the lowest structure with this stoichiometry = 737.5 meV/atom
1.0
4.0965 0.0000 0.0000
0.0000 4.0965 0.0000
0.0000 0.0000 4.0965
Ge Cl F
1 1 3
Cartesian
0.0000 0.0000 0.0000
2.0482 2.0482 2.0482
0.0000 0.0000 2.0482
0.0000 2.0482 0.0000
2.0482 0.0000 0.0000

---

(7)
GeCl3F, optimized geometry, DFT PBE-GGA; energy above the lowest structure with this stoichiometry = 213.8 meV/atom
1.0
3.4935 0.0000 0.0000
0.0000 10.3399 0.0000
-0.0036 0.0000 7.2857
Ge Cl F
2 6 2
Cartesian
0.0061 2.5850 1.8675
3.4838 7.7549 5.4182
0.0008 7.7549 3.2444
1.7432 0.9133 1.7652
1.7432 4.2567 1.7652
1.7467 6.0832 5.5205
1.7467 9.4267 5.5205
3.4891 2.5850 4.0413
0.0009 7.7549 7.1799
3.4890 2.5850 0.1058

---

(8)
A plane-wave DFT calculation with PBE-GGA was carried out for crystalline GeClF at its relaxed geometry.

Cell and atoms, written as POSCAR:
```
GeClF
1.0
4.2112 0.0000 0.0000
0.0983 4.2451 0.0000
0.1216 0.1501 7.6540
Ge Cl F
2 2 2
Cartesian
0.4911 0.4740 1.4804
3.9401 3.9213 6.1736
1.1265 1.1315 5.1393
3.3046 3.2637 2.5147
0.9655 3.3534 0.0033
3.4657 1.0419 7.6507
```

---

| no. | size of the total moment (μB/cell) | raw formation energy (eV per atom) |
| --- | --- | --- |
| 1 | 0.0 | -1.433 |
| 2 | 0.0 | -1.430 |
| 3 | 0.1 | -1.996 |
| 4 | 0.0 | -1.440 |
| 5 | 0.5 | -1.268 |
| 6 | 0.9 | -1.259 |
| 7 | 0.0 | -1.074 |
| 8 | 0.0 | -1.424 |